The following is a PBE-GGA calculation of an optimized crystal structure of KSb2Te, from Alexandria.

Output
The calculation puts the total energy at -3.029 eV/atom. For the density of states at the Fermi level, the calculation gives 2.62 states/eV/f.u.

a = 3.694 Å, b = 3.694 Å, c = 9.645 Å
α = 90.00°, β = 90.00°, γ = 104.18°
Atoms (fractional coordinates):
K: 0.500 0.500 0.750
Sb: 0.000 0.000 0.034
Sb: 0.000 0.000 0.466
Te: 0.500 0.500 0.250